A geometry-optimized CsPHAu structure. Source: Alexandria via LeMat-Bulk, functional PBE. Values from VASP.

The structure in Quantum ESPRESSO input format:
```
&SYSTEM
  ibrav = 0, nat = 4, ntyp = 4
/
ATOMIC_SPECIES
Cs 132.91 Cs.upf
P 30.97 P.upf
H 1.01 H.upf
Au 196.97 Au.upf
CELL_PARAMETERS angstrom
4.591 0.000 0.000
0.000 5.588 0.000
-2.279 0.000 4.432
ATOMIC_POSITIONS angstrom
Cs 0.000 0.000 0.000
P -0.006 2.794 2.456
H -0.005 2.794 3.903
Au 2.290 2.794 1.984
```

Output
Raw total energy: -14.2 eV per cell

A geometry-optimized MnCoP structure. Source: Alexandria via LeMat-Bulk, functional PBE. Values from VASP.

The structure in Quantum ESPRESSO input format:
```
&SYSTEM
  ibrav = 0, nat = 3, ntyp = 3
/
ATOMIC_SPECIES
Mn 54.94 Mn.upf
Co 58.93 Co.upf
P 30.97 P.upf
CELL_PARAMETERS angstrom
1.498 0.865 4.774
-1.498 0.865 4.774
0.000 -1.730 4.774
ATOMIC_POSITIONS angstrom
Mn 0.000 0.000 0.000
Co 0.000 0.000 2.845
P 0.000 0.000 11.071
```

Output
Formation energy: -0.1807 eV/atom

A geometry-optimized Dy3YPd12 structure. Source: Alexandria via LeMat-Bulk, functional PBE. Values from VASP.

The structure in Quantum ESPRESSO input format:
```
&SYSTEM
  ibrav = 0, nat = 16, ntyp = 3
/
ATOMIC_SPECIES
Dy 162.50 Dy.upf
Y 88.91 Y.upf
Pd 106.42 Pd.upf
CELL_PARAMETERS angstrom
4.118 0.000 0.000
0.000 4.118 0.000
0.000 0.000 16.568
ATOMIC_POSITIONS angstrom
Dy 0.000 0.000 0.000
Dy 0.000 0.000 4.131
Dy 0.000 0.000 12.437
Y 0.000 0.000 8.284
Pd 0.000 2.059 2.068
Pd 0.000 2.059 6.200
Pd 0.000 2.059 10.367
Pd 0.000 2.059 14.500
Pd 2.059 0.000 2.068
Pd 2.059 0.000 6.200
Pd 2.059 0.000 10.367
Pd 2.059 0.000 14.500
Pd 2.059 2.059 0.000
Pd 2.059 2.059 4.136
Pd 2.059 2.059 8.284
Pd 2.059 2.059 12.431
```

Output
Formation energy: -0.8700 eV/atom

A geometry-optimized LaSc2Cu structure. Source: Alexandria via LeMat-Bulk, functional PBE. Values from VASP.

The structure in Quantum ESPRESSO input format:
```
&SYSTEM
  ibrav = 0, nat = 4, ntyp = 3
/
ATOMIC_SPECIES
La 138.91 La.upf
Sc 44.96 Sc.upf
Cu 63.55 Cu.upf
CELL_PARAMETERS angstrom
-1.756 2.523 5.383
1.756 -2.523 5.383
1.756 2.523 -5.383
ATOMIC_POSITIONS angstrom
La 0.000 0.000 0.000
Sc 0.000 0.000 4.493
Sc 0.000 2.523 2.286
Cu 1.756 0.000 2.517
```

Output
Formation energy: 0.0102 eV/atom

A geometry-optimized LiAcLa2 structure. Source: Alexandria via LeMat-Bulk, functional PBE. Values from VASP.

The structure in Quantum ESPRESSO input format:
```
&SYSTEM
  ibrav = 0, nat = 4, ntyp = 3
/
ATOMIC_SPECIES
Li 6.94 Li.upf
Ac 227.00 Ac.upf
La 138.91 La.upf
CELL_PARAMETERS angstrom
1.852 1.069 12.888
-1.852 1.069 12.888
0.000 -2.139 12.888
ATOMIC_POSITIONS angstrom
Li 0.000 0.000 0.000
Ac 0.000 0.000 19.333
La 0.000 0.000 3.396
La 0.000 0.000 35.269
```

Output
Formation energy: 0.1991 eV/atom

A geometry-optimized Fe4Co12Si structure. Source: Alexandria via LeMat-Bulk, functional PBE. Values from VASP.

The structure in Quantum ESPRESSO input format:
```
&SYSTEM
  ibrav = 0, nat = 17, ntyp = 3
/
ATOMIC_SPECIES
Fe 55.84 Fe.upf
Co 58.93 Co.upf
Si 28.09 Si.upf
CELL_PARAMETERS angstrom
4.609 0.000 0.000
-0.762 6.186 0.000
-0.875 -1.862 6.728
ATOMIC_POSITIONS angstrom
Fe 0.000 0.000 0.000
Fe -0.225 2.440 3.308
Fe 1.157 5.123 3.514
Fe 2.646 3.974 0.035
Co -1.114 4.604 4.259
Co -0.232 0.123 2.548
Co -0.173 4.110 1.601
Co -0.385 2.541 5.832
Co 1.024 2.155 0.487
Co 0.775 0.646 4.838
Co 1.546 -1.446 5.806
Co 1.453 5.791 1.222
Co 2.184 3.485 2.297
Co 1.972 2.830 4.601
Co 3.353 1.819 0.963
Co 3.103 0.445 5.246
Si 2.058 1.238 2.885
```

Output
Energy relative to the elements, uncorrected: 0.0125 eV per atom

A geometry-optimized Dy8FeBi2 structure. Source: Alexandria via LeMat-Bulk, functional PBE. Values from VASP.

The structure in Quantum ESPRESSO input format:
```
&SYSTEM
  ibrav = 0, nat = 11, ntyp = 3
/
ATOMIC_SPECIES
Dy 162.50 Dy.upf
Fe 55.84 Fe.upf
Bi 208.98 Bi.upf
CELL_PARAMETERS angstrom
9.744 -2.270 0.000
9.744 2.270 0.000
-0.849 0.000 7.226
ATOMIC_POSITIONS angstrom
Dy -0.215 0.000 2.022
Dy 3.463 0.000 6.076
Dy 6.848 0.000 3.329
Dy 7.099 0.000 7.123
Dy 11.540 0.000 0.103
Dy 11.790 0.000 3.897
Dy 15.175 0.000 1.149
Dy 18.853 0.000 5.204
Fe 9.319 0.000 3.613
Bi 3.314 0.000 2.024
Bi 15.325 0.000 5.202
```

Output
Formation energy: -0.2550 eV/atom

A geometry-optimized AcTbGdGa structure. Source: Alexandria via LeMat-Bulk, functional PBE. Values from VASP.

The structure in Quantum ESPRESSO input format:
```
&SYSTEM
  ibrav = 0, nat = 4, ntyp = 4
/
ATOMIC_SPECIES
Ac 227.00 Ac.upf
Tb 158.93 Tb.upf
Gd 157.25 Gd.upf
Ga 69.72 Ga.upf
CELL_PARAMETERS angstrom
0.000 3.902 3.902
3.902 0.000 3.902
3.902 3.902 0.000
ATOMIC_POSITIONS angstrom
Ac 0.000 0.000 0.000
Tb 1.951 1.951 1.951
Gd 5.853 5.853 5.853
Ga 3.902 3.902 3.902
```

Output
Formation energy: 0.0222 eV/atom

A geometry-optimized BaBeTl2 structure. Source: Alexandria via LeMat-Bulk, functional PBE. Values from VASP.

The structure in Quantum ESPRESSO input format:
```
&SYSTEM
  ibrav = 0, nat = 4, ntyp = 3
/
ATOMIC_SPECIES
Ba 137.33 Ba.upf
Be 9.01 Be.upf
Tl 204.38 Tl.upf
CELL_PARAMETERS angstrom
3.275 -6.006 0.000
3.275 6.006 0.000
-2.122 0.000 3.283
ATOMIC_POSITIONS angstrom
Ba 0.000 0.000 0.000
Be 3.275 0.000 0.000
Tl 0.576 3.003 1.642
Tl 0.576 -3.003 1.642
```

Output
Formation energy: 0.4250 eV/atom

A geometry-optimized PmTm6Zr structure. Source: Alexandria via LeMat-Bulk, functional PBE. Values from VASP.

The structure in Quantum ESPRESSO input format:
```
&SYSTEM
  ibrav = 0, nat = 8, ntyp = 3
/
ATOMIC_SPECIES
Pm 145.00 Pm.upf
Tm 168.93 Tm.upf
Zr 91.22 Zr.upf
CELL_PARAMETERS angstrom
6.958 0.000 0.000
0.000 6.958 0.000
0.000 0.000 4.845
ATOMIC_POSITIONS angstrom
Pm 0.000 0.000 0.000
Tm 0.000 3.479 0.000
Tm 1.809 1.809 2.422
Tm 1.809 5.148 2.422
Tm 3.479 0.000 0.000
Tm 5.148 1.809 2.422
Tm 5.148 5.148 2.422
Zr 3.479 3.479 0.000
```

Output
Formation energy: 0.0475 eV/atom

A geometry-optimized La2HI5 structure. Source: Alexandria via LeMat-Bulk, functional PBE. Values from VASP.

The structure in Quantum ESPRESSO input format:
```
&SYSTEM
  ibrav = 0, nat = 16, ntyp = 3
/
ATOMIC_SPECIES
La 138.91 La.upf
H 1.01 H.upf
I 126.90 I.upf
CELL_PARAMETERS angstrom
1.985 -7.896 0.000
1.985 7.896 0.000
0.000 0.000 21.491
ATOMIC_POSITIONS angstrom
La 1.985 4.102 14.201
La 1.985 4.102 18.035
La 1.985 -4.102 3.456
La 1.985 -4.102 7.290
H 1.985 4.410 5.373
H 1.985 -4.410 16.118
I 1.985 6.152 2.700
I 1.985 6.152 8.045
I 1.985 2.355 1.440
I 1.985 2.355 9.305
I 1.985 1.569 5.373
I 1.985 -1.569 16.118
I 1.985 -2.355 12.186
I 1.985 -2.355 20.051
I 1.985 -6.152 13.446
I 1.985 -6.152 18.791
```

Output
Raw total energy: -60.0 eV per cell

A geometry-optimized MgIrF2 structure. Source: Alexandria via LeMat-Bulk, functional PBE. Values from VASP.

The structure in Quantum ESPRESSO input format:
```
&SYSTEM
  ibrav = 0, nat = 4, ntyp = 3
/
ATOMIC_SPECIES
Mg 24.30 Mg.upf
Ir 192.22 Ir.upf
F 19.00 F.upf
CELL_PARAMETERS angstrom
1.421 0.821 8.378
-1.421 0.821 8.378
0.000 -1.641 8.378
ATOMIC_POSITIONS angstrom
Mg 0.000 0.000 0.000
Ir 0.000 0.000 12.566
F 0.000 0.000 1.802
F 0.000 0.000 23.330
```

Output
Energy relative to the elements, uncorrected: -0.7046 eV per atom